Here is HfCo after structural relaxation from Alexandria via LeMat-Bulk. Energies are from GGA-PBE.

Results
total DFT energy (no corrections)	-8.95	eV/atom
space-group type	No. 71
formation energy from the elements	-424	meV per atom
crystal system	orthorhombic

a = 4.103 Å, b = 3.192 Å, c = 14.435 Å
α = 90.00°, β = 90.00°, γ = 90.00°
Fractional positions:
Hf: 0.500 0.000 0.325
Hf: 0.500 0.000 0.675
Hf: 0.000 0.500 0.825
Hf: 0.000 0.500 0.175
Hf: 0.500 0.500 0.000
Hf: 0.000 0.000 0.500
Co: 0.500 0.000 0.142
Co: 0.500 0.000 0.858
Co: 0.000 0.500 0.642
Co: 0.000 0.500 0.358
Co: 0.000 0.000 0.000
Co: 0.500 0.500 0.500